No. 1
Crystalline HfMn3Fe at its relaxed geometry. Source: Alexandria, functional PBE.

Lattice parameters (Å, degrees): 4.1707 4.1707 4.1707 90.00 90.00 90.00
Space group Pm-3m (No. 221)
Unique sites:
Hf: 0.0000 0.0000 0.0000 [1 per cell]
Mn: 0.0000 0.5000 0.5000 [3 per cell]
Fe: 0.5000 0.5000 0.5000 [1 per cell]

- Energy relative to the elements: 3.85 eV per formula unit
- Offset from the most stable computed form: 0 meV per atom
- Final energy: -42.070 eV for the cell shown

No. 2
Crystalline CaAl3C at its relaxed geometry. Source: Alexandria, functional PBE.

Lattice parameters (Å, degrees): 4.4095 4.4095 4.4095 90.00 90.00 90.00
Space group Pm-3m (No. 221)
Unique sites:
Ca: 0.0000 0.0000 0.0000 [1 per cell]
Al: 0.0000 0.5000 0.5000 [3 per cell]
C: 0.5000 0.5000 0.5000 [1 per cell]

- Energy relative to the elements: 2.16 eV per formula unit
- Offset from the most stable computed form: 0 meV per atom
- Final energy: -20.292 eV for the cell shown

No. 3
Crystalline Tb5Pm2Pr2 at its relaxed geometry. Source: Alexandria, functional PBE.

Lattice parameters (Å, degrees): 21.7651 3.5172 8.3715 90.00 99.82 90.00
Space group C2/m (No. 12)
Unique sites:
Tb: 0.0000 0.0000 0.0000 [2 per cell]
Tb: 0.0998 0.0000 0.7406 [4 per cell]
Tb: 0.1900 0.5000 0.5259 [4 per cell]
Pm: 0.0465 0.5000 0.3559 [4 per cell]
Pr: 0.1850 0.0000 0.1457 [4 per cell]

- Energy relative to the elements: 2.07 eV per formula unit
- Offset from the most stable computed form: 33 meV per atom
- Final energy: -80.277 eV for the cell shown

No. 4
Crystalline NaLaEr4O8 at its relaxed geometry. Source: Alexandria, functional PBE.

Lattice parameters (Å, degrees): 6.7843 6.7843 17.1571 90.00 90.00 120.00
Space group R3m (No. 160, hexagonal axes)
Unique sites:
Na: 0.0000 0.0000 0.0000 [3 per cell]
La: 0.0000 0.0000 0.6241 [3 per cell]
Er: 0.0000 0.0000 0.2458 [3 per cell]
Er: 0.1708 0.3416 0.4545 [9 per cell]
O: 0.0000 0.0000 0.3783 [3 per cell]
O: 0.0000 0.0000 0.8541 [3 per cell]
O: 0.0405 0.5202 0.3826 [9 per cell]
O: 0.1715 0.3431 0.1981 [9 per cell]

- E_form (uncorrected): -3.255 eV per atom
- Final energy: -329.205 eV for the cell shown

No. 5
Crystalline AgSbRu2 at its relaxed geometry. Source: Alexandria, functional PBE.

Lattice parameters (Å, degrees): 2.9583 4.3472 5.4978 90.00 105.07 90.00
Space group Pm (No. 6)
Unique sites:
Ag: 0.0000 0.0000 0.0000 [1 per cell]
Sb: 0.3894 0.5000 0.7709 [1 per cell]
Ru: 0.2529 0.0000 0.4958 [1 per cell]
Ru: 0.6650 0.5000 0.3113 [1 per cell]

- E_form (uncorrected): 0.443 eV per atom
- Final energy: -23.753 eV for the cell shown

No. 6
Crystalline Hf3BiSe at its relaxed geometry. Source: Alexandria, functional PBE.

Lattice parameters (Å, degrees): 5.3734 5.3734 5.3734 90.00 90.00 90.00
Space group Pm-3m (No. 221)
Unique sites:
Hf: 0.0000 0.0000 0.5000 [3 per cell]
Bi: 0.0000 0.0000 0.0000 [1 per cell]
Se: 0.5000 0.5000 0.5000 [1 per cell]

- E_form (uncorrected): 1.447 eV per atom
- Offset from the most stable computed form: 1863 meV per atom
- Final energy: -29.989 eV for the cell shown

No. 7
Crystalline RbSr2Sn2 at its relaxed geometry. Source: Alexandria, functional PBE.

Lattice parameters (Å, degrees): 6.0193 6.0193 13.2209 90.00 90.00 90.00
Space group I4/mmm (No. 139)
Unique sites:
Rb: 0.0000 0.0000 0.0000 [2 per cell]
Sr: 0.0000 0.0000 0.3443 [4 per cell]
Sn: 0.0000 0.5000 0.2500 [4 per cell]

- Energy relative to the elements: -0.61 eV per formula unit
- Offset from the most stable computed form: 302 meV per atom
- Final energy: -25.885 eV for the cell shown

No. 8
Crystalline PrPu2Si2 at its relaxed geometry. Source: Alexandria, functional PBE.

Lattice parameters (Å, degrees): 4.4837 13.2056 8.1873 90.00 90.00 90.00
Space group Cmc2_1 (No. 36)
Unique sites:
Pr: 0.0000 0.0833 0.0000 [4 per cell]
Pu: 0.0000 0.1795 0.5992 [4 per cell]
Pu: 0.0000 0.3535 0.8815 [4 per cell]
Si: 0.0000 0.2834 0.2976 [4 per cell]
Si: 0.0000 0.4606 0.1989 [4 per cell]

- E_form (uncorrected): -0.327 eV per atom
- Final energy: -183.695 eV for the cell shown

No. 9
Crystalline Na3PmSb2S6 at its relaxed geometry. Source: Alexandria, functional PBE.

Lattice parameters (Å, degrees): 6.9881 12.1067 7.1039 90.00 109.10 90.00
Space group C2/m (No. 12)
Unique sites:
Na: 0.0000 0.0000 0.0000 [2 per cell]
Na: 0.0000 0.3303 0.0000 [4 per cell]
Pm: 0.0000 0.5000 0.5000 [2 per cell]
Sb: 0.0000 0.1665 0.5000 [4 per cell]
S: 0.2389 0.0000 0.7318 [4 per cell]
S: 0.2455 0.3307 0.7299 [8 per cell]

- E_form (uncorrected): -1.038 eV per atom
- Final energy: -108.346 eV for the cell shown

No. 10
Crystalline SrSiP2Au at its relaxed geometry. Source: Alexandria, functional PBE.

Lattice parameters (Å, degrees): 4.7401 4.7401 4.8760 90.00 90.00 90.00
Space group P4/mmm (No. 123)
Unique sites:
Sr: 0.0000 0.0000 0.0000 [1 per cell]
Si: 0.5000 0.5000 0.5000 [1 per cell]
P: 0.0000 0.5000 0.5000 [2 per cell]
Au: 0.5000 0.5000 0.0000 [1 per cell]

- E_form (uncorrected): -0.137 eV per atom
- Final energy: -21.886 eV for the cell shown

No. 11
Crystalline YSc4 at its relaxed geometry. Source: Alexandria, functional PBE.

Lattice parameters (Å, degrees): 3.3370 3.3370 40.3770 90.00 90.00 120.00
Space group R-3m (No. 166, hexagonal axes)
Unique sites:
Y: 0.0000 0.0000 0.0000 [3 per cell]
Sc: 0.0000 0.0000 0.1992 [6 per cell]
Sc: 0.0000 0.0000 0.4030 [6 per cell]

- Energy relative to the elements: 0.33 eV per formula unit
- Offset from the most stable computed form: 8 meV per atom
- Final energy: -94.370 eV for the cell shown

No. 12
Crystalline Si3RhAu at its relaxed geometry. Source: Alexandria, functional PBE.

Lattice parameters (Å, degrees): 4.6149 4.6149 4.6149 90.00 90.00 90.00
Space group Pm-3m (No. 221)
Unique sites:
Si: 0.0000 0.0000 0.5000 [3 per cell]
Rh: 0.0000 0.0000 0.0000 [1 per cell]
Au: 0.5000 0.5000 0.5000 [1 per cell]

- E_form (uncorrected): 0.402 eV per atom
- Offset from the most stable computed form: 0 meV per atom
- Final energy: -24.889 eV for the cell shown

No. 13
Crystalline AcPm4Nd2Tm at its relaxed geometry. Source: Alexandria, functional PBE.

Lattice parameters (Å, degrees): 13.9417 13.5873 7.0326 90.00 120.21 90.00
Space group C2/c (No. 15)
Unique sites:
Ac: 0.2500 0.2500 0.0000 [4 per cell]
Pm: 0.9999 0.2426 0.0144 [8 per cell]
Pm: 0.2443 0.0077 0.4885 [8 per cell]
Nd: 0.0000 0.5000 0.0000 [4 per cell]
Nd: 0.2500 0.2500 0.5000 [4 per cell]
Tm: 0.0000 0.0000 0.0000 [4 per cell]

- Energy relative to the elements: 3.08 eV per formula unit
- Final energy: -136.155 eV for the cell shown

No. 14
Crystalline CaZrIn2 at its relaxed geometry. Source: Alexandria, functional PBE.

Lattice parameters (Å, degrees): 4.3902 4.3902 10.5481 90.00 90.00 90.00
Space group I-4m2 (No. 119)
Unique sites:
Ca: 0.0000 0.0000 0.0000 [2 per cell]
Zr: 0.0000 0.5000 0.7500 [2 per cell]
In: 0.0000 0.0000 0.5000 [2 per cell]
In: 0.0000 0.5000 0.2500 [2 per cell]

- Energy relative to the elements: -0.56 eV per formula unit
- Final energy: -33.175 eV for the cell shown

No. 15
Crystalline Tm2Cu2BRh4 at its relaxed geometry. Source: Alexandria, functional PBE.

Lattice parameters (Å, degrees): 5.8697 5.8697 7.7594 90.00 90.00 90.00
Space group I4/mmm (No. 139)
Unique sites:
Tm: 0.0000 0.5000 0.2500 [4 per cell]
Cu: 0.0000 0.0000 0.2302 [4 per cell]
B: 0.0000 0.0000 0.5000 [2 per cell]
Rh: 0.2479 0.2479 0.0000 [8 per cell]

- Energy relative to the elements: -6.43 eV per formula unit
- Final energy: -119.306 eV for the cell shown

No. 16
Crystalline Tb3Y4PuS8 at its relaxed geometry. Source: Alexandria, functional PBE.

Lattice parameters (Å, degrees): 7.8508 7.8508 19.2312 90.00 90.00 120.00
Space group R-3m (No. 166, hexagonal axes)
Unique sites:
Tb: 0.0000 0.5000 0.0000 [9 per cell]
Y: 0.0000 0.0000 0.5000 [3 per cell]
Y: 0.0000 0.5000 0.5000 [9 per cell]
Pu: 0.0000 0.0000 0.0000 [3 per cell]
S: 0.0000 0.0000 0.2497 [6 per cell]
S: 0.0007 0.5004 0.2495 [18 per cell]

- E_form (uncorrected): -1.987 eV per atom
- Final energy: -356.671 eV for the cell shown

No. 17
Crystalline Cr3CdPd12 at its relaxed geometry. Source: Alexandria, functional PBE.

Lattice parameters (Å, degrees): 3.9345 3.9345 15.7710 90.00 90.00 90.00
Space group P4/mmm (No. 123)
Unique sites:
Cr: 0.0000 0.0000 0.0000 [1 per cell]
Cr: 0.0000 0.0000 0.2452 [2 per cell]
Cd: 0.0000 0.0000 0.5000 [1 per cell]
Pd: 0.0000 0.5000 0.1227 [4 per cell]
Pd: 0.0000 0.5000 0.3662 [4 per cell]
Pd: 0.5000 0.5000 0.0000 [1 per cell]
Pd: 0.5000 0.5000 0.2447 [2 per cell]
Pd: 0.5000 0.5000 0.5000 [1 per cell]

- Energy relative to the elements: -1.90 eV per formula unit
- Final energy: -93.996 eV for the cell shown

No. 18
Crystalline LaFeMo2 at its relaxed geometry. Source: Alexandria, functional PBE.

Lattice parameters (Å, degrees): 5.3445 10.0009 2.7301 90.00 90.00 90.00
Space group Cmmm (No. 65)
Unique sites:
La: 0.0000 0.0000 0.0000 [2 per cell]
Fe: 0.0000 0.5000 0.0000 [2 per cell]
Mo: 0.2500 0.2500 0.5000 [4 per cell]

- Energy relative to the elements: 3.14 eV per formula unit
- Offset from the most stable computed form: 335 meV per atom
- Final energy: -63.833 eV for the cell shown

No. 19
Crystalline LaSm2Y6Ho3 at its relaxed geometry. Source: Alexandria, functional PBE.

Lattice parameters (Å, degrees): 6.2151 10.7579 11.8553 90.00 100.03 90.00
Space group C2/m (No. 12)
Unique sites:
La: 0.0000 0.0000 0.0000 [2 per cell]
Sm: 0.0000 0.3334 0.0000 [4 per cell]
Y: 0.2476 0.3330 0.7461 [8 per cell]
Y: 0.2489 0.0000 0.7460 [4 per cell]
Ho: 0.0000 0.1669 0.5000 [4 per cell]
Ho: 0.0000 0.5000 0.5000 [2 per cell]

- Energy relative to the elements: 0.26 eV per formula unit
- Final energy: -133.254 eV for the cell shown

No. 20
Crystalline SrHg2Pb2 at its relaxed geometry. Source: Alexandria, functional PBE.

Lattice parameters (Å, degrees): 8.5579 8.5579 4.1638 90.00 90.00 90.00
Space group P4/mbm (No. 127)
Unique sites:
Sr: 0.0000 0.0000 0.0000 [2 per cell]
Hg: 0.1244 0.3756 0.0000 [4 per cell]
Pb: 0.1770 0.6770 0.5000 [4 per cell]

- Energy relative to the elements: -1.10 eV per formula unit
- Offset from the most stable computed form: 80 meV per atom
- Final energy: -21.605 eV for the cell shown